# CaWBr, PBEsol geometry, DFT meta-GGA SCAN
data_CaWBr
_symmetry_space_group_name_H-M 'I 4 m m'
_symmetry_Int_Tables_number 107
_symmetry_space_group_name_Hall 'I 4 -2'
_cell_length_a 3.1067
_cell_length_b 3.1067
_cell_length_c 12.5919
_cell_angle_alpha 90.00
_cell_angle_beta 90.00
_cell_angle_gamma 90.00
loop_
_atom_site_label
_atom_site_fract_x
_atom_site_fract_y
_atom_site_fract_z
Ca1 0.0000 0.0000 0.0000
W1 0.0000 0.0000 0.3227
Br1 0.0000 0.0000 0.6832
# - E (eV per atom) = -32.213
# - Fermi-level density of states (states/eV per cell) = 2.791
# - formation energy without anion corrections (kJ/mol of atoms) = 69.9


# CaW2Br, PBEsol geometry, DFT meta-GGA SCAN
data_CaW2Br
_symmetry_space_group_name_H-M 'C 1 2/m 1'
_symmetry_Int_Tables_number 12
_symmetry_space_group_name_Hall '-C 2y'
_cell_length_a 12.3855
_cell_length_b 3.2483
_cell_length_c 4.1861
_cell_angle_alpha 90.00
_cell_angle_beta 107.63
_cell_angle_gamma 90.00
loop_
_atom_site_label
_atom_site_fract_x
_atom_site_fract_y
_atom_site_fract_z
Ca1 0.0000 0.0000 0.0000
W1 0.2263 0.5000 0.7506
Br1 0.0000 0.5000 0.5000
# - E (eV per atom) = -41.634
# - Fermi-level density of states (states/eV per cell) = 4.958
# - formation energy without anion corrections (kJ/mol of atoms) = 47.3


# CaYBr, PBEsol geometry, DFT meta-GGA SCAN
data_CaYBr
_symmetry_space_group_name_H-M 'F -4 3 m'
_symmetry_Int_Tables_number 216
_symmetry_space_group_name_Hall 'F -4 2 3'
_cell_length_a 7.0260
_cell_length_b 7.0260
_cell_length_c 7.0260
_cell_angle_alpha 90.00
_cell_angle_beta 90.00
_cell_angle_gamma 90.00
loop_
_atom_site_label
_atom_site_fract_x
_atom_site_fract_y
_atom_site_fract_z
Ca1 0.0000 0.0000 0.0000
Y1 0.0000 0.0000 0.5000
Br1 0.2500 0.2500 0.7500
# - E (eV per atom) = -19.303
# - Fermi-level density of states (states/eV per cell) = 5.690
# - formation energy without anion corrections (kJ/mol of atoms) = -30.3
# - energy above the lowest structure with this stoichiometry (eV/atom) = 0.000


# CaZn2Br, PBEsol geometry, DFT meta-GGA SCAN
data_CaZn2Br
_symmetry_space_group_name_H-M 'P 4/m m m'
_symmetry_Int_Tables_number 123
_symmetry_space_group_name_Hall '-P 4 2'
_cell_length_a 4.2708
_cell_length_b 4.2708
_cell_length_c 5.4884
_cell_angle_alpha 90.00
_cell_angle_beta 90.00
_cell_angle_gamma 90.00
loop_
_atom_site_label
_atom_site_fract_x
_atom_site_fract_y
_atom_site_fract_z
Ca1 0.0000 0.0000 0.0000
Zn1 0.5000 0.5000 0.2611
Br1 0.0000 0.0000 0.5000
# - E (eV per atom) = -14.336
# - Fermi-level density of states (states/eV per cell) = 1.918
# - formation energy without anion corrections (kJ/mol of atoms) = -28.7
# - energy above the lowest structure with this stoichiometry (eV/atom) = 0.149


# Ca3ZnBr, PBEsol geometry, DFT meta-GGA SCAN
data_Ca3ZnBr
_symmetry_space_group_name_H-M 'P m -3 m'
_symmetry_Int_Tables_number 221
_symmetry_space_group_name_Hall '-P 4 2 3'
_cell_length_a 5.4579
_cell_length_b 5.4579
_cell_length_c 5.4579
_cell_angle_alpha 90.00
_cell_angle_beta 90.00
_cell_angle_gamma 90.00
loop_
_atom_site_label
_atom_site_fract_x
_atom_site_fract_y
_atom_site_fract_z
Ca1 0.0000 0.0000 0.5000
Zn1 0.5000 0.5000 0.5000
Br1 0.0000 0.0000 0.0000
# - E (eV per atom) = -12.657
# - Fermi-level density of states (states/eV per cell) = 6.220
# - formation energy without anion corrections (kJ/mol of atoms) = -25.5


# Ca2ZnBr, PBEsol geometry, DFT meta-GGA SCAN
data_Ca2ZnBr
_symmetry_space_group_name_H-M 'A m m 2'
_symmetry_Int_Tables_number 38
_symmetry_space_group_name_Hall 'A 2 -2'
_cell_length_a 4.8159
_cell_length_b 3.7440
_cell_length_c 11.8710
_cell_angle_alpha 90.00
_cell_angle_beta 90.00
_cell_angle_gamma 90.00
loop_
_atom_site_label
_atom_site_fract_x
_atom_site_fract_y
_atom_site_fract_z
Ca1 0.0000 0.0000 0.0000
Ca2 0.5000 0.0000 0.2582
Zn1 0.5000 0.0000 0.5162
Br1 0.0000 0.0000 0.7460
# - E (eV per atom) = -13.806
# - Fermi-level density of states (states/eV per cell) = 5.586
# - formation energy without anion corrections (kJ/mol of atoms) = -70.5
# - energy above the lowest structure with this stoichiometry (eV/atom) = 0.075


# CaZnBr, PBEsol geometry, DFT meta-GGA SCAN
data_CaZnBr
_symmetry_space_group_name_H-M 'F -4 3 m'
_symmetry_Int_Tables_number 216
_symmetry_space_group_name_Hall 'F -4 2 3'
_cell_length_a 6.9558
_cell_length_b 6.9558
_cell_length_c 6.9558
_cell_angle_alpha 90.00
_cell_angle_beta 90.00
_cell_angle_gamma 90.00
loop_
_atom_site_label
_atom_site_fract_x
_atom_site_fract_y
_atom_site_fract_z
Ca1 0.0000 0.0000 0.0000
Zn1 0.0000 0.0000 0.5000
Br1 0.2500 0.2500 0.2500
# - E (eV per atom) = -14.686
# - Fermi-level density of states (states/eV per cell) = 6.214
# - formation energy without anion corrections (kJ/mol of atoms) = -45.7


# CaZn2Br, PBEsol geometry, DFT meta-GGA SCAN
data_CaZn2Br
_symmetry_space_group_name_H-M 'P m m m'
_symmetry_Int_Tables_number 47
_symmetry_space_group_name_Hall '-P 2 2'
_cell_length_a 3.9433
_cell_length_b 4.0413
_cell_length_c 5.6424
_cell_angle_alpha 90.00
_cell_angle_beta 90.00
_cell_angle_gamma 90.00
loop_
_atom_site_label
_atom_site_fract_x
_atom_site_fract_y
_atom_site_fract_z
Ca1 0.0000 0.0000 0.0000
Zn1 0.0000 0.5000 0.5000
Zn2 0.5000 0.0000 0.5000
Br1 0.5000 0.5000 0.0000
# - E (eV per atom) = -14.485
# - Fermi-level density of states (states/eV per cell) = 1.414
# - formation energy without anion corrections (kJ/mol of atoms) = -43.1
# - energy above the lowest structure with this stoichiometry (eV/atom) = 0.000


# Ca2ZnBr, PBEsol geometry, DFT meta-GGA SCAN
data_Ca2ZnBr
_symmetry_space_group_name_H-M 'I -4 m 2'
_symmetry_Int_Tables_number 119
_symmetry_space_group_name_Hall 'I -4 -2'
_cell_length_a 4.2545
_cell_length_b 4.2545
_cell_length_c 12.2047
_cell_angle_alpha 90.00
_cell_angle_beta 90.00
_cell_angle_gamma 90.00
loop_
_atom_site_label
_atom_site_fract_x
_atom_site_fract_y
_atom_site_fract_z
Ca1 0.0000 0.0000 0.0000
Ca2 0.0000 0.5000 0.2500
Zn1 0.0000 0.0000 0.5000
Br1 0.0000 0.5000 0.7500
# - E (eV per atom) = -13.680
# - Fermi-level density of states (states/eV per cell) = 5.979
# - formation energy without anion corrections (kJ/mol of atoms) = -58.4
# - energy above the lowest structure with this stoichiometry (eV/atom) = 0.200


# Ca2ZnBr, PBEsol geometry, DFT meta-GGA SCAN
data_Ca2ZnBr
_symmetry_space_group_name_H-M 'P 4/m m m'
_symmetry_Int_Tables_number 123
_symmetry_space_group_name_Hall '-P 4 2'
_cell_length_a 4.2294
_cell_length_b 4.2294
_cell_length_c 6.1141
_cell_angle_alpha 90.00
_cell_angle_beta 90.00
_cell_angle_gamma 90.00
loop_
_atom_site_label
_atom_site_fract_x
_atom_site_fract_y
_atom_site_fract_z
Ca1 0.0000 0.0000 0.0000
Ca2 0.5000 0.5000 0.5000
Zn1 0.0000 0.0000 0.5000
Br1 0.5000 0.5000 0.0000
# - E (eV per atom) = -13.881
# - Fermi-level density of states (states/eV per cell) = 3.552
# - formation energy without anion corrections (kJ/mol of atoms) = -77.7
# - energy above the lowest structure with this stoichiometry (eV/atom) = 0.000


# CaZrBr2, PBEsol geometry, DFT meta-GGA SCAN
data_CaZrBr2
_symmetry_space_group_name_H-M 'I -4 2 d'
_symmetry_Int_Tables_number 122
_symmetry_space_group_name_Hall 'I -4 2bw'
_cell_length_a 4.9836
_cell_length_b 4.9836
_cell_length_c 17.7499
_cell_angle_alpha 90.00
_cell_angle_beta 90.00
_cell_angle_gamma 90.00
loop_
_atom_site_label
_atom_site_fract_x
_atom_site_fract_y
_atom_site_fract_z
Ca1 0.0000 0.0000 0.0000
Zr1 0.0000 0.0000 0.5000
Br1 0.2181 0.2500 0.6250
# - E (eV per atom) = -20.455
# - Fermi-level density of states (states/eV per cell) = 12.178
# - formation energy without anion corrections (kJ/mol of atoms) = -61.2
# - energy above the lowest structure with this stoichiometry (eV/atom) = 0.133


# CaZrBr3, PBEsol geometry, DFT meta-GGA SCAN
data_CaZrBr3
_symmetry_space_group_name_H-M 'P m -3 m'
_symmetry_Int_Tables_number 221
_symmetry_space_group_name_Hall '-P 4 2 3'
_cell_length_a 5.4271
_cell_length_b 5.4271
_cell_length_c 5.4271
_cell_angle_alpha 90.00
_cell_angle_beta 90.00
_cell_angle_gamma 90.00
loop_
_atom_site_label
_atom_site_fract_x
_atom_site_fract_y
_atom_site_fract_z
Ca1 0.0000 0.0000 0.0000
Zr1 0.5000 0.5000 0.5000
Br1 0.0000 0.0000 0.5000
# - E (eV per atom) = -20.549
# - Fermi-level density of states (states/eV per cell) = 2.656
# - formation energy without anion corrections (kJ/mol of atoms) = -77.3


# CaZrBr2, PBEsol geometry, DFT meta-GGA SCAN
data_CaZrBr2
_symmetry_space_group_name_H-M 'P m m m'
_symmetry_Int_Tables_number 47
_symmetry_space_group_name_Hall '-P 2 2'
_cell_length_a 3.3889
_cell_length_b 4.5697
_cell_length_c 6.4061
_cell_angle_alpha 90.00
_cell_angle_beta 90.00
_cell_angle_gamma 90.00
loop_
_atom_site_label
_atom_site_fract_x
_atom_site_fract_y
_atom_site_fract_z
Ca1 0.0000 0.0000 0.0000
Zr1 0.5000 0.0000 0.5000
Br1 0.0000 0.5000 0.5000
Br2 0.5000 0.5000 0.0000
# - E (eV per atom) = -20.551
# - Fermi-level density of states (states/eV per cell) = 3.690
# - formation energy without anion corrections (kJ/mol of atoms) = -70.5
# - energy above the lowest structure with this stoichiometry (eV/atom) = 0.037


# CaZrBr2, PBEsol geometry, DFT meta-GGA SCAN
data_CaZrBr2
_symmetry_space_group_name_H-M 'C m m m'
_symmetry_Int_Tables_number 65
_symmetry_space_group_name_Hall '-C 2 2'
_cell_length_a 3.3737
_cell_length_b 6.4213
_cell_length_c 9.2717
_cell_angle_alpha 90.00
_cell_angle_beta 90.00
_cell_angle_gamma 90.00
loop_
_atom_site_label
_atom_site_fract_x
_atom_site_fract_y
_atom_site_fract_z
Ca1 0.0000 0.0000 0.0000
Zr1 0.0000 0.0000 0.5000
Br1 0.0000 0.5000 0.2632
# - E (eV per atom) = -20.588
# - Fermi-level density of states (states/eV per cell) = 5.190
# - formation energy without anion corrections (kJ/mol of atoms) = -74.0
# - energy above the lowest structure with this stoichiometry (eV/atom) = 0.000


# CaZrBr2, PBEsol geometry, DFT meta-GGA SCAN
data_CaZrBr2
_symmetry_space_group_name_H-M 'C 1 2/m 1'
_symmetry_Int_Tables_number 12
_symmetry_space_group_name_Hall '-C 2y'
_cell_length_a 6.9986
_cell_length_b 9.0064
_cell_length_c 3.4631
_cell_angle_alpha 90.00
_cell_angle_beta 117.95
_cell_angle_gamma 90.00
loop_
_atom_site_label
_atom_site_fract_x
_atom_site_fract_y
_atom_site_fract_z
Ca1 0.0000 0.0000 0.0000
Zr1 0.0000 0.5000 0.0000
Br1 0.2500 0.2500 0.0000
# - E (eV per atom) = -20.548
# - Fermi-level density of states (states/eV per cell) = 4.988
# - formation energy without anion corrections (kJ/mol of atoms) = -70.2
# - energy above the lowest structure with this stoichiometry (eV/atom) = 0.040


# Cd3Br, PBEsol geometry, DFT meta-GGA SCAN
data_Cd3Br
_symmetry_space_group_name_H-M 'I m m m'
_symmetry_Int_Tables_number 71
_symmetry_space_group_name_Hall '-I 2 2'
_cell_length_a 3.4362
_cell_length_b 5.7493
_cell_length_c 9.6851
_cell_angle_alpha 90.00
_cell_angle_beta 90.00
_cell_angle_gamma 90.00
loop_
_atom_site_label
_atom_site_fract_x
_atom_site_fract_y
_atom_site_fract_z
Cd1 0.0000 0.0000 0.0000
Cd2 0.0000 0.5000 0.2564
Br1 0.0000 0.0000 0.5000
# - E (eV per atom) = -27.765
# - Fermi-level density of states (states/eV per cell) = 3.016
# - formation energy without anion corrections (kJ/mol of atoms) = -8.6
# - energy above the lowest structure with this stoichiometry (eV/atom) = 0.000


# CdBr2, PBEsol geometry, DFT meta-GGA SCAN
data_CdBr2
_symmetry_space_group_name_H-M 'P n n m'
_symmetry_Int_Tables_number 58
_symmetry_space_group_name_Hall '-P 2 2n'
_cell_length_a 6.2913
_cell_length_b 6.7269
_cell_length_c 4.0221
_cell_angle_alpha 90.00
_cell_angle_beta 90.00
_cell_angle_gamma 90.00
loop_
_atom_site_label
_atom_site_fract_x
_atom_site_fract_y
_atom_site_fract_z
Cd1 0.0000 0.0000 0.0000
Br1 0.2436 0.1517 0.5000
# - E (eV per atom) = -24.046
# - Fermi-level density of states (states/eV per cell) = 0.000
# - formation energy without anion corrections (kJ/mol of atoms) = -90.2


# CdBr2, PBEsol geometry, DFT meta-GGA SCAN
data_CdBr2
_symmetry_space_group_name_H-M 'C m c m'
_symmetry_Int_Tables_number 63
_symmetry_space_group_name_Hall '-C 2c 2'
_cell_length_a 3.9014
_cell_length_b 17.4846
_cell_length_c 5.7560
_cell_angle_alpha 90.00
_cell_angle_beta 90.00
_cell_angle_gamma 90.00
loop_
_atom_site_label
_atom_site_fract_x
_atom_site_fract_y
_atom_site_fract_z
Cd1 0.0000 0.1784 0.2500
Br1 0.0000 0.2044 0.7500
Br2 0.0000 0.4217 0.7500
# - E (eV per atom) = -24.028
# - Fermi-level density of states (states/eV per cell) = 0.000
# - formation energy without anion corrections (kJ/mol of atoms) = -88.4


# CdBr2, PBEsol geometry, DFT meta-GGA SCAN
data_CdBr2
_symmetry_space_group_name_H-M 'P 63/m m c'
_symmetry_Int_Tables_number 194
_symmetry_space_group_name_Hall '-P 6c 2c'
_cell_length_a 4.5816
_cell_length_b 4.5816
_cell_length_c 8.9336
_cell_angle_alpha 90.00
_cell_angle_beta 90.00
_cell_angle_gamma 120.00
loop_
_atom_site_label
_atom_site_fract_x
_atom_site_fract_y
_atom_site_fract_z
Cd1 0.3333 0.6667 0.2500
Br1 0.0000 0.0000 0.0000
Br2 0.3333 0.6667 0.7500
# - E (eV per atom) = -23.654
# - formation energy without anion corrections (kJ/mol of atoms) = -52.3


# CdBr2, PBEsol geometry, DFT meta-GGA SCAN
data_CdBr2
_symmetry_space_group_name_H-M 'C m c m'
_symmetry_Int_Tables_number 63
_symmetry_space_group_name_Hall '-C 2c 2'
_cell_length_a 3.6601
_cell_length_b 25.9104
_cell_length_c 3.7588
_cell_angle_alpha 90.00
_cell_angle_beta 90.00
_cell_angle_gamma 90.00
loop_
_atom_site_label
_atom_site_fract_x
_atom_site_fract_y
_atom_site_fract_z
Cd1 0.0000 0.1212 0.2500
Br1 0.0000 0.3062 0.7500
Br2 0.0000 0.4312 0.2500
# - E (eV per atom) = -23.880
# - Fermi-level density of states (states/eV per cell) = 0.000
# - formation energy without anion corrections (kJ/mol of atoms) = -74.2